# 1
BaIn2: optimized geometry, PBE-GGA.

a b c (Å): 7.8102 7.8102 7.1246
angles (deg): 62.86 62.86 33.95
Last column: nearest neighbours and their distance in Å.
Fractional coordinates of all 6 atoms:
In  0.9996  0.9996  0.2297  5 In 3.19-3.27
In  0.6162  0.6162  0.8842  5 In 3.05-3.19
In  0.3838  0.3838  0.1158  5 In 3.05-3.19
In  0.0004  0.0004  0.7703  5 In 3.19-3.27
Ba  0.6763  0.6763  0.3239  8 In 3.55-3.78
Ba  0.3237  0.3237  0.6761  8 In 3.55-3.78

E in eV per atom: -2.85
Space-group type: No. 12
Density of states at the Fermi level in states/eV/f.u.: 1.645
Total magnetization in μB/atom: 0.00


# 2
Ba2In: optimized geometry, PBE-GGA.

a b c (Å): 4.4129 4.4129 9.0776
angles (deg): 90.00 90.00 120.00
Last column: nearest neighbours and their distance in Å.
Fractional coordinates of all 3 atoms:
Ba  0.3333  0.6667  0.2778  3 In 3.58
Ba  0.6667  0.3333  0.7222  3 In 3.58
In  0.0000  0.0000  0.0000  6 Ba 3.58

E in eV per atom: -2.34
Space-group type: No. 164
Density of states at the Fermi level in states/eV/f.u.: 3.845
Total magnetization in μB/atom: 0.00


# 3
Ba2In3: optimized geometry, PBE-GGA.

a b c (Å): 7.2772 8.7081 11.4514
angles (deg): 90.00 90.00 90.00
Last column: nearest neighbours and their distance in Å.
Fractional coordinates of all 20 atoms:
Ba  0.8710  0.1884  0.5783  8 In 3.62-3.91
Ba  0.3710  0.3116  0.4217  8 In 3.62-3.91
Ba  0.6290  0.3116  0.0783  8 In 3.62-3.91
Ba  0.3710  0.6884  0.9217  8 In 3.62-3.91
Ba  0.8710  0.8116  0.0783  8 In 3.62-3.91
Ba  0.1290  0.8116  0.4217  8 In 3.62-3.91
Ba  0.6290  0.6884  0.5783  8 In 3.62-3.91
Ba  0.1290  0.1884  0.9217  8 In 3.62-3.91
In  0.5000  0.6509  0.2500  4 In 3.19-3.22
In  0.5000  0.3491  0.7500  4 In 3.19-3.22
In  0.1423  0.5265  0.6543  3 In 3.02-3.22
In  0.0000  0.8491  0.7500  4 In 3.19-3.22
In  0.6423  0.9735  0.3457  3 In 3.02-3.22
In  0.6423  0.0265  0.8457  3 In 3.02-3.22
In  0.8577  0.5265  0.8457  3 In 3.02-3.22
In  0.1423  0.4735  0.1543  3 In 3.02-3.22
In  0.0000  0.1509  0.2500  4 In 3.19-3.22
In  0.3577  0.0265  0.6543  3 In 3.02-3.22
In  0.3577  0.9735  0.1543  3 In 3.02-3.22
In  0.8577  0.4735  0.3457  3 In 3.02-3.22

E in eV per atom: -2.80
Relative energy among the computed polymorphs in meV/atom: 0.0
Space-group type: No. 60
Density of states at the Fermi level in states/eV/f.u.: 4.130
Total magnetization in μB/atom: 0.00


# 4
Ba5In2: optimized geometry, PBE-GGA.

a b c (Å): 8.1992 8.8592 10.8209
angles (deg): 114.16 112.26 90.00
Last column: nearest neighbours and their distance in Å.
Fractional coordinates of all 14 atoms:
Ba  0.5180  0.2680  0.5360  4 In 3.65-3.98
Ba  0.7500  0.5000  0.0000  4 In 3.75, 8 Ba 4.02-4.17
Ba  0.0824  0.2298  0.1648  2 In 3.54-3.76, 1 Ba 3.95
Ba  0.0180  0.2680  0.5360  4 In 3.65-3.98
Ba  0.9820  0.7320  0.4640  4 In 3.65-3.98
Ba  0.4176  0.0649  0.8352  2 In 3.54-3.76, 1 Ba 3.95
Ba  0.4820  0.7320  0.4640  4 In 3.65-3.98
Ba  0.2500  0.5000  0.0000  4 In 3.75, 8 Ba 4.02-4.17
Ba  0.9176  0.7702  0.8352  2 In 3.54-3.76, 1 Ba 3.95
Ba  0.5824  0.9351  0.1648  2 In 3.54-3.76, 1 Ba 3.95
In  0.1212  0.8771  0.2424  6 Ba 3.54-3.76
In  0.8788  0.1229  0.7576  6 Ba 3.54-3.76
In  0.6212  0.3652  0.2424  6 Ba 3.54-3.76
In  0.3788  0.6348  0.7576  6 Ba 3.54-3.76

E in eV per atom: -2.42
Relative energy among the computed polymorphs in meV/atom: 0.0
Space-group type: No. 72
Density of states at the Fermi level in states/eV/f.u.: 4.810
Total magnetization in μB/atom: 0.00